#a
A plane-wave DFT calculation with GGA-PBE was carried out for CeTh2Ga after structural relaxation.

Geometry as POSCAR:
```
CeTh2Ga
1.0
7.532 0.000 0.000
0.000 7.532 0.000
0.000 0.000 7.532
Ce Th Ga
4 8 4
direct
0.000 0.000 0.000
0.000 0.500 0.500
0.500 0.000 0.500
0.500 0.500 0.000
0.250 0.250 0.250
0.250 0.250 0.750
0.250 0.750 0.250
0.250 0.750 0.750
0.750 0.250 0.250
0.750 0.250 0.750
0.750 0.750 0.250
0.750 0.750 0.750
0.000 0.000 0.500
0.000 0.500 0.000
0.500 0.000 0.000
0.500 0.500 0.500
```

## Properties
magnetic moment: 0.07 Bohr magnetons per cell
space group: Fm-3m

#b
A plane-wave DFT calculation with GGA-PBE was carried out for CeTh2Ga after structural relaxation.

Geometry as POSCAR:
```
CeTh2Ga
1.0
3.977 0.000 0.000
0.000 3.977 0.000
0.000 0.000 6.938
Ce Th Ga
1 2 1
direct
0.000 0.000 0.000
0.500 0.500 0.269
0.500 0.500 0.731
0.000 0.000 0.500
```

## Properties
magnetic moment: 0.00 Bohr magnetons per cell
space group: P4/mmm

#c
A plane-wave DFT calculation with GGA-PBE was carried out for CeTh2Ga after structural relaxation.

Geometry as POSCAR:
```
CeTh2Ga
1.0
4.859 0.000 0.000
0.000 4.859 0.000
0.000 0.000 4.604
Ce Th Ga
1 2 1
direct
0.000 0.000 0.000
0.000 0.500 0.500
0.500 0.000 0.500
0.500 0.500 0.000
```

## Properties
magnetic moment: 0.00 Bohr magnetons per cell
space group: P4/mmm

Which of them is the most stable? Correct choice: #c.